# MnBeBiP PBE-GGA optimized geometry
# DFT formation energy	130	meV per atom
# E	-5.4168	eV/atom
# spin magnetization	1.20	μB per cell
data_MnBeBiP
_cell_length_a 13.9568
_cell_length_b 3.2702
_cell_length_c 3.0444
_cell_angle_alpha 90.00
_cell_angle_beta 102.18
_cell_angle_gamma 90.00
_space_group_name_H-M_alt 'C 1 m 1'
_space_group_IT_number 8
loop_
_space_group_symop_operation_xyz
'x,y,z'
'x,-y,z'
'x+1/2,y+1/2,z'
'x+1/2,-y+1/2,z'
loop_
_atom_site_label
_atom_site_fract_x
_atom_site_fract_y
_atom_site_fract_z
Mn1 0.0000 0.0000 0.0000
Be1 0.3557 0.5000 0.3620
Bi1 0.1681 0.5000 0.1600
P1 0.4459 0.0000 0.4476